Density functional theory data (PBE-GGA) for a geometry-optimized Pm6AuO12 structure.

Values from the calculation:
total moment: 1.17 μB per formula unit
formation energy (no corrections): -2687.2 meV/atom
space group: No. 148
crystal system: trigonal

a = 6.6946 Å, b = 6.6946 Å, c = 6.6946 Å
α = 98.76°, β = 98.76°, γ = 98.76°
Closest atoms and distances in Å follow each position.
Element x y z (fractional)
Pm 0.1104 0.6409 0.7995  7 O 2.30-2.57
Pm 0.2005 0.8896 0.3591  7 O 2.30-2.57
Pm 0.3591 0.2005 0.8896  7 O 2.30-2.57
Pm 0.6409 0.7995 0.1104  7 O 2.30-2.57
Pm 0.7995 0.1104 0.6409  7 O 2.30-2.57
Pm 0.8896 0.3590 0.2005  7 O 2.30-2.57
Au 0.5000 0.5000 0.5000  6 O 2.08
O 0.0576 0.3224 0.9094  4 Pm 2.30-2.40
O 0.0906 0.9424 0.6776  4 Pm 2.30-2.40
O 0.1973 0.5435 0.4410  1 Au 2.08
O 0.3224 0.9094 0.0576  4 Pm 2.30-2.40
O 0.4410 0.1973 0.5435  1 Au 2.08
O 0.4565 0.5590 0.8027  1 Au 2.08
O 0.5435 0.4410 0.1973  1 Au 2.08
O 0.5590 0.8027 0.4565  1 Au 2.08
O 0.6776 0.0906 0.9424  4 Pm 2.30-2.40
O 0.8027 0.4565 0.5590  1 Au 2.08
O 0.9094 0.0576 0.3224  4 Pm 2.30-2.40
O 0.9424 0.6776 0.0906  4 Pm 2.30-2.40

---

Density functional theory data (PBE-GGA) for a geometry-optimized RhCO2 structure.

Values from the calculation:
total moment: 1.14 μB per formula unit
formation energy (no corrections): 870.7 meV/atom
space group: No. 122
crystal system: tetragonal

a = 4.8986 Å, b = 4.8986 Å, c = 4.8986 Å
α = 123.71°, β = 123.71°, γ = 83.68°
Closest atoms and distances in Å follow each position.
Element x y z (fractional)
Rh 0.0000 0.0000 0.0000  4 O 2.32
Rh 0.7500 0.2500 0.5000  4 O 2.32
C 0.2500 0.7500 0.5000  4 O 1.56
C 0.5000 0.5000 0.0000  4 O 1.56
O 0.2628 0.6250 0.1378  2 C 1.56
O 0.3750 0.5128 0.6378  2 C 1.56
O 0.4872 0.1250 0.8622  2 C 1.56
O 0.8750 0.7372 0.3622  2 C 1.56

---

Density functional theory data (PBE-GGA) for a geometry-optimized LiSiAuCl2 structure.

Values from the calculation:
total moment: 0.00 μB per formula unit
formation energy (no corrections): 48.2 meV/atom
space group: No. 123
crystal system: tetragonal

a = 4.6471 Å, b = 4.6471 Å, c = 8.1156 Å
α = 90.00°, β = 90.00°, γ = 90.00°
Closest atoms and distances in Å follow each position.
Element x y z (fractional)
Li 0.0000 0.0000 0.0000  4 Au 3.29
Si 0.0000 0.0000 0.5000  4 Cl 2.32
Au 0.5000 0.5000 0.0000  4 Li 3.29
Cl 0.0000 0.5000 0.5000  2 Si 2.32
Cl 0.5000 0.0000 0.5000  2 Si 2.32